DFT (PBE-GGA) results for Cu2SbTe3 after structural relaxation.

energy above the most stable polymorph in this dataset	0.04	eV per formula unit
V	28.3	Å³ per atom
calculated total energy	-3.6363	eV per atom
formation energy (no corrections)	-13.0	meV/atom

CIF file:
```
data_Cu2SbTe3
_chemical_formula_sum 'Cu4 Sb2 Te6'
_space_group_name_H-M_alt 'P 1 21/m 1'
_space_group_IT_number 11
_cell_length_a 7.592
_cell_length_b 4.096
_cell_length_c 11.144
_cell_angle_alpha 90.00
_cell_angle_beta 101.59
_cell_angle_gamma 90.00
loop_
_space_group_symop_operation_xyz
'x,y,z'
'-x,-y,-z'
'-x,y+1/2,-z'
'x,-y+1/2,z'
loop_
_atom_site_label
_atom_site_fract_x
_atom_site_fract_y
_atom_site_fract_z
Cu1 0.037 0.250 0.432
Cu2 0.451 0.750 0.922
Sb1 0.275 0.250 0.695
Te1 0.092 0.750 0.820
Te2 0.260 0.750 0.466
Te3 0.367 0.750 0.139
```